Sr2CeEuCu2RuO10: relaxed, PBE.

- Formation energy from raw total energies: -2.021 eV/atom
- Total magnetic moment: 3.8 μB per formula unit
- V: 12.890 Å³ per atom

Lattice parameters (Å, degrees): 3.8919 3.8919 14.7263 97.59 97.59 90.00
Fractional coordinates of all 17 atoms:
Sr 0.0000 0.0000 0.0000
Sr 0.1554 0.1554 0.3110
Ce 0.8687 0.8687 0.7389
Eu 0.2796 0.2796 0.5607
Cu 0.4321 0.4321 0.8646
Cu 0.7191 0.7191 0.4388
Ru 0.5752 0.5752 0.1500
O 0.0730 0.5736 0.1469
O 0.2227 0.7227 0.4464
O 0.3275 0.8275 0.6567
O 0.4249 0.9250 0.8506
O 0.5053 0.5053 0.0137
O 0.5736 0.0730 0.1469
O 0.6403 0.6403 0.2841
O 0.7227 0.2227 0.4464
O 0.8275 0.3275 0.6567
O 0.9250 0.4249 0.8506